! Nd4SmEr PBE relaxed; values from VASP
! Space group   C2/m, No. 12
! Calculated total energy   -27.3 eV/cell
! N(E_F)   1.9106 states/eV per atom
! Offset from the most stable computed form   160 meV/atom
&SYSTEM
  ibrav = 0, nat = 6, ntyp = 3
/
ATOMIC_SPECIES
Nd 144.24 Nd.upf
Sm 150.36 Sm.upf
Er 167.26 Er.upf
CELL_PARAMETERS angstrom
5.9329 -1.7426 0.0000
5.9329 1.7426 0.0000
-5.7376 0.0000 10.1390
ATOMIC_POSITIONS crystal
Nd 0.1872 0.1872 0.3425
Nd 0.1903 0.1903 0.8458
Nd 0.8097 0.8097 0.1542
Nd 0.8128 0.8128 0.6575
Sm 0.0000 0.0000 0.5000
Er 0.0000 0.0000 0.0000

! Nd4Sm7Er PBE relaxed; values from VASP
! Space group   P-1, No. 2
! Calculated total energy   -55.6 eV/cell
! N(E_F)   1.6085 states/eV per atom
! Offset from the most stable computed form   0 meV/atom
&SYSTEM
  ibrav = 0, nat = 12, ntyp = 3
/
ATOMIC_SPECIES
Nd 144.24 Nd.upf
Sm 150.36 Sm.upf
Er 167.26 Er.upf
CELL_PARAMETERS angstrom
6.5946 0.0000 0.0000
0.8445 6.9187 0.0000
2.0623 0.3155 8.9975
ATOMIC_POSITIONS crystal
Nd 0.1461 0.3034 0.2822
Nd 0.3393 0.8936 0.6888
Nd 0.6607 0.1064 0.3113
Nd 0.8539 0.6966 0.7178
Sm 0.0102 0.2520 0.9499
Sm 0.1863 0.8009 0.3580
Sm 0.3064 0.4012 0.6178
Sm 0.5000 0.0000 0.0000
Sm 0.6936 0.5988 0.3822
Sm 0.8137 0.1991 0.6420
Sm 0.9898 0.7480 0.0501
Er 0.5000 0.5000 0.0000

! Nd3Sm3Er PBE relaxed; values from VASP
! Space group   P6_3/m, No. 176
! Calculated total energy   -65.7 eV/cell
! N(E_F)   1.7449 states/eV per atom
! Offset from the most stable computed form   0 meV/atom
&SYSTEM
  ibrav = 0, nat = 14, ntyp = 3
/
ATOMIC_SPECIES
Nd 144.24 Nd.upf
Sm 150.36 Sm.upf
Er 167.26 Er.upf
CELL_PARAMETERS angstrom
9.7407 0.0000 0.0000
-4.8703 8.4357 0.0000
0.0000 0.0000 5.8356
ATOMIC_POSITIONS crystal
Nd 0.0949 0.4752 0.2500
Nd 0.3803 0.9051 0.2500
Nd 0.4752 0.3803 0.7500
Nd 0.5248 0.6197 0.2500
Nd 0.6197 0.0949 0.7500
Nd 0.9051 0.5248 0.7500
Sm 0.0462 0.2384 0.7500
Sm 0.1922 0.9538 0.7500
Sm 0.2384 0.1922 0.2500
Sm 0.7616 0.8078 0.7500
Sm 0.8078 0.0462 0.2500
Sm 0.9538 0.7616 0.2500
Er 0.3333 0.6667 0.7500
Er 0.6667 0.3333 0.2500

! NdSm2Er PBE relaxed; values from VASP
! Space group   Fm-3m, No. 225
! Calculated total energy   -18.2 eV/cell
! N(E_F)   2.6632 states/eV per atom
! Offset from the most stable computed form   128 meV/atom
&SYSTEM
  ibrav = 0, nat = 4, ntyp = 3
/
ATOMIC_SPECIES
Nd 144.24 Nd.upf
Sm 150.36 Sm.upf
Er 167.26 Er.upf
CELL_PARAMETERS angstrom
0.0000 4.0670 4.0670
4.0670 0.0000 4.0670
4.0670 4.0670 0.0000
ATOMIC_POSITIONS crystal
Nd 0.0000 0.0000 0.0000
Sm 0.2500 0.2500 0.2500
Sm 0.7500 0.7500 0.7500
Er 0.5000 0.5000 0.5000

! Nd4Sm3Er5 PBE relaxed; values from VASP
! Space group   P-1, No. 2
! Calculated total energy   -55.8 eV/cell
! N(E_F)   1.2889 states/eV per atom
! Offset from the most stable computed form   0 meV/atom
&SYSTEM
  ibrav = 0, nat = 12, ntyp = 3
/
ATOMIC_SPECIES
Nd 144.24 Nd.upf
Sm 150.36 Sm.upf
Er 167.26 Er.upf
CELL_PARAMETERS angstrom
6.2291 0.0000 0.0000
-0.0089 7.1822 0.0000
-0.0068 -0.0177 8.7997
ATOMIC_POSITIONS crystal
Nd 0.1683 0.9997 0.1702
Nd 0.3324 0.2513 0.8315
Nd 0.6676 0.7487 0.1685
Nd 0.8317 0.0003 0.8298
Sm 0.3320 0.7485 0.8315
Sm 0.5000 0.5000 0.5000
Sm 0.6680 0.2515 0.1685
Er 0.9996 0.2518 0.4999
Er 0.0004 0.7482 0.5001
Er 0.1652 0.4998 0.1700
Er 0.5000 0.0000 0.5000
Er 0.8348 0.5002 0.8300

! Nd7Sm4Er PBE relaxed; values from VASP
! Space group   P-1, No. 2
! Calculated total energy   -56.7 eV/cell
! N(E_F)   1.2735 states/eV per atom
! Offset from the most stable computed form   0 meV/atom
&SYSTEM
  ibrav = 0, nat = 12, ntyp = 3
/
ATOMIC_SPECIES
Nd 144.24 Nd.upf
Sm 150.36 Sm.upf
Er 167.26 Er.upf
CELL_PARAMETERS angstrom
6.3638 0.0000 0.0000
-0.0008 7.3524 0.0000
-2.1245 -0.0006 8.8398
ATOMIC_POSITIONS crystal
Nd 0.0000 0.0000 0.0000
Nd 0.2216 0.5001 0.6668
Nd 0.2777 0.2499 0.3312
Nd 0.5004 0.2505 0.9997
Nd 0.4996 0.7495 0.0003
Nd 0.7223 0.7501 0.6688
Nd 0.7784 0.4999 0.3332
Sm 0.2231 0.0002 0.6664
Sm 0.2773 0.7497 0.3305
Sm 0.7227 0.2503 0.6695
Sm 0.7769 0.9998 0.3336
Er 0.0000 0.5000 0.0000

! Nd5SmEr3 PBE relaxed; values from VASP
! Space group   I4/mcm, No. 140
! Calculated total energy   -79.3 eV/cell
! N(E_F)   1.2348 states/eV per atom
! Offset from the most stable computed form   116 meV/atom
&SYSTEM
  ibrav = 0, nat = 18, ntyp = 3
/
ATOMIC_SPECIES
Nd 144.24 Nd.upf
Sm 150.36 Sm.upf
Er 167.26 Er.upf
CELL_PARAMETERS angstrom
-4.0150 4.0150 9.6402
4.0150 -4.0150 9.6402
4.0150 4.0150 -9.6402
ATOMIC_POSITIONS crystal
Nd 0.0000 0.0000 0.0000
Nd 0.0713 0.5713 0.9083
Nd 0.1630 0.0713 0.5000
Nd 0.3370 0.8370 0.9083
Nd 0.4287 0.3370 0.5000
Nd 0.5000 0.5000 0.0000
Nd 0.5713 0.6630 0.5000
Nd 0.6630 0.1630 0.0917
Nd 0.8370 0.9287 0.5000
Nd 0.9287 0.4287 0.0917
Sm 0.2500 0.7500 0.5000
Sm 0.7500 0.2500 0.5000
Er 0.1288 0.3712 0.5000
Er 0.2500 0.2500 0.0000
Er 0.3712 0.8712 0.2424
Er 0.6288 0.1288 0.7576
Er 0.7500 0.7500 0.0000
Er 0.8712 0.6288 0.5000

! Nd7SmEr4 PBE relaxed; values from VASP
! Space group   P-1, No. 2
! Calculated total energy   -56.3 eV/cell
! N(E_F)   1.3948 states/eV per atom
! Offset from the most stable computed form   0 meV/atom
&SYSTEM
  ibrav = 0, nat = 12, ntyp = 3
/
ATOMIC_SPECIES
Nd 144.24 Nd.upf
Sm 150.36 Sm.upf
Er 167.26 Er.upf
CELL_PARAMETERS angstrom
6.3293 0.0000 0.0000
0.0012 7.2973 0.0000
2.1117 0.0053 8.7398
ATOMIC_POSITIONS crystal
Nd 0.0000 0.0000 0.0000
Nd 0.2226 0.5004 0.3346
Nd 0.2810 0.7513 0.6638
Nd 0.5000 0.2461 0.9979
Nd 0.5000 0.7539 0.0021
Nd 0.7190 0.2487 0.3362
Nd 0.7774 0.4996 0.6654
Sm 0.0000 0.5000 0.0000
Er 0.2188 0.0002 0.3357
Er 0.2773 0.2457 0.6663
Er 0.7227 0.7543 0.3337
Er 0.7812 0.9998 0.6643

! NdSm12Er6 PBE relaxed; values from VASP
! Space group   R-3m, No. 166
! Calculated total energy   -85.0 eV/cell
! N(E_F)   1.9522 states/eV per atom
! Offset from the most stable computed form   58 meV/atom
&SYSTEM
  ibrav = 0, nat = 19, ntyp = 3
/
ATOMIC_SPECIES
Nd 144.24 Nd.upf
Sm 150.36 Sm.upf
Er 167.26 Er.upf
CELL_PARAMETERS angstrom
6.6614 3.8460 4.2194
-6.6614 3.8460 4.2194
0.0000 -7.6920 4.2194
ATOMIC_POSITIONS crystal
Nd 0.0000 0.0000 0.0000
Sm 0.0823 0.3551 0.3551
Sm 0.2416 0.5000 0.7584
Sm 0.2416 0.7584 0.5000
Sm 0.3551 0.0823 0.3551
Sm 0.3551 0.3551 0.0823
Sm 0.5000 0.2416 0.7584
Sm 0.5000 0.7584 0.2416
Sm 0.6449 0.6449 0.9177
Sm 0.6449 0.9177 0.6449
Sm 0.7584 0.2416 0.5000
Sm 0.7584 0.5000 0.2416
Sm 0.9177 0.6449 0.6449
Er 0.1001 0.1001 0.6611
Er 0.1001 0.6611 0.1001
Er 0.3389 0.8999 0.8999
Er 0.6611 0.1001 0.1001
Er 0.8999 0.3389 0.8999
Er 0.8999 0.8999 0.3389

! NdSm2Er PBE relaxed; values from VASP
! Space group   P4/mmm, No. 123
! Calculated total energy   -18.7 eV/cell
! N(E_F)   1.5901 states/eV per atom
! Offset from the most stable computed form   1 meV/atom
&SYSTEM
  ibrav = 0, nat = 4, ntyp = 3
/
ATOMIC_SPECIES
Nd 144.24 Nd.upf
Sm 150.36 Sm.upf
Er 167.26 Er.upf
CELL_PARAMETERS angstrom
5.0992 0.0000 0.0000
0.0000 5.0992 0.0000
0.0000 0.0000 5.1142
ATOMIC_POSITIONS crystal
Nd 0.0000 0.0000 0.0000
Sm 0.0000 0.5000 0.5000
Sm 0.5000 0.0000 0.5000
Er 0.5000 0.5000 0.0000

! NdSmEr3 PBE relaxed; values from VASP
! Space group   P2_1/m, No. 11
! Calculated total energy   -46.2 eV/cell
! N(E_F)   1.5392 states/eV per atom
! Offset from the most stable computed form   0 meV/atom
&SYSTEM
  ibrav = 0, nat = 10, ntyp = 3
/
ATOMIC_SPECIES
Nd 144.24 Nd.upf
Sm 150.36 Sm.upf
Er 167.26 Er.upf
CELL_PARAMETERS angstrom
6.2963 0.0000 0.0000
0.0000 5.6783 0.0000
-3.1379 0.0000 9.0811
ATOMIC_POSITIONS crystal
Nd 0.2325 0.2500 0.3004
Nd 0.7675 0.7500 0.6996
Sm 0.3654 0.7500 0.8994
Sm 0.6346 0.2500 0.1006
Er 0.0351 0.2500 0.8994
Er 0.1635 0.7500 0.5006
Er 0.4332 0.2500 0.6981
Er 0.5668 0.7500 0.3019
Er 0.8365 0.2500 0.4994
Er 0.9649 0.7500 0.1006

! NdSm15Er4 PBE relaxed; values from VASP
! Space group   P4/mmm, No. 123
! Calculated total energy   -93.5 eV/cell
! N(E_F)   1.3824 states/eV per atom
&SYSTEM
  ibrav = 0, nat = 20, ntyp = 3
/
ATOMIC_SPECIES
Nd 144.24 Nd.upf
Sm 150.36 Sm.upf
Er 167.26 Er.upf
CELL_PARAMETERS angstrom
5.1025 0.0000 0.0000
0.0000 5.1025 0.0000
0.0000 0.0000 25.4545
ATOMIC_POSITIONS crystal
Nd 0.0000 0.0000 0.0000
Sm 0.0000 0.5000 0.1018
Sm 0.0000 0.5000 0.3009
Sm 0.0000 0.5000 0.5000
Sm 0.0000 0.5000 0.6991
Sm 0.0000 0.5000 0.8982
Sm 0.5000 0.0000 0.1018
Sm 0.5000 0.0000 0.3009
Sm 0.5000 0.0000 0.5000
Sm 0.5000 0.0000 0.6991
Sm 0.5000 0.0000 0.8982
Sm 0.5000 0.5000 0.0000
Sm 0.5000 0.5000 0.2018
Sm 0.5000 0.5000 0.4004
Sm 0.5000 0.5000 0.5996
Sm 0.5000 0.5000 0.7982
Er 0.0000 0.0000 0.2014
Er 0.0000 0.0000 0.4004
Er 0.0000 0.0000 0.5996
Er 0.0000 0.0000 0.7986

! Nd5Sm2Er5 PBE relaxed; values from VASP
! Space group   C2/m, No. 12
! Calculated total energy   -55.9 eV/cell
! N(E_F)   1.4461 states/eV per atom
&SYSTEM
  ibrav = 0, nat = 12, ntyp = 3
/
ATOMIC_SPECIES
Nd 144.24 Nd.upf
Sm 150.36 Sm.upf
Er 167.26 Er.upf
CELL_PARAMETERS angstrom
7.6338 -2.5376 0.0000
7.6338 2.5376 0.0000
-5.1089 0.0000 10.2051
ATOMIC_POSITIONS crystal
Nd 0.0000 0.0000 0.0000
Nd 0.1650 0.1650 0.4986
Nd 0.2493 0.2493 0.2475
Nd 0.7507 0.7507 0.7525
Nd 0.8350 0.8350 0.5014
Sm 0.0829 0.0829 0.7520
Sm 0.9171 0.9171 0.2480
Er 0.3328 0.3328 0.9995
Er 0.4178 0.4178 0.7512
Er 0.5000 0.5000 0.5000
Er 0.5822 0.5822 0.2488
Er 0.6672 0.6672 0.0005

! NdSm2Er9 PBE relaxed; values from VASP
! Space group   P6/mmm, No. 191
! Calculated total energy   -54.6 eV/cell
! N(E_F)   1.5045 states/eV per atom
! Offset from the most stable computed form   30 meV/atom
&SYSTEM
  ibrav = 0, nat = 12, ntyp = 3
/
ATOMIC_SPECIES
Nd 144.24 Nd.upf
Sm 150.36 Sm.upf
Er 167.26 Er.upf
CELL_PARAMETERS angstrom
11.1924 0.0000 0.0000
-5.5962 9.6929 0.0000
0.0000 0.0000 3.5056
ATOMIC_POSITIONS crystal
Nd 0.0000 0.0000 0.0000
Sm 0.3333 0.6667 0.0000
Sm 0.6667 0.3333 0.0000
Er 0.0000 0.5000 0.0000
Er 0.1768 0.3535 0.5000
Er 0.1768 0.8232 0.5000
Er 0.3535 0.1768 0.5000
Er 0.5000 0.0000 0.0000
Er 0.5000 0.5000 0.0000
Er 0.6465 0.8232 0.5000
Er 0.8232 0.1768 0.5000
Er 0.8232 0.6465 0.5000

! Nd2Sm7Er PBE relaxed; values from VASP
! Space group   Cmmm, No. 65
! Calculated total energy   -45.6 eV/cell
! N(E_F)   1.5723 states/eV per atom
&SYSTEM
  ibrav = 0, nat = 10, ntyp = 3
/
ATOMIC_SPECIES
Nd 144.24 Nd.upf
Sm 150.36 Sm.upf
Er 167.26 Er.upf
CELL_PARAMETERS angstrom
3.3392 -14.6390 0.0000
3.3392 14.6390 0.0000
0.0000 0.0000 3.4947
ATOMIC_POSITIONS crystal
Nd 0.2049 0.7951 0.0000
Nd 0.7951 0.2049 0.0000
Sm 0.0000 0.0000 0.0000
Sm 0.1579 0.3535 0.0000
Sm 0.3126 0.6874 0.5000
Sm 0.3535 0.1579 0.0000
Sm 0.6465 0.8421 0.0000
Sm 0.6874 0.3126 0.5000
Sm 0.8421 0.6465 0.0000
Er 0.5000 0.5000 0.5000

! Nd2Sm2Er3 PBE relaxed; values from VASP
! Space group   C2/m, No. 12
! Calculated total energy   -31.8 eV/cell
! N(E_F)   1.9546 states/eV per atom
! Offset from the most stable computed form   0 meV/atom
&SYSTEM
  ibrav = 0, nat = 7, ntyp = 3
/
ATOMIC_SPECIES
Nd 144.24 Nd.upf
Sm 150.36 Sm.upf
Er 167.26 Er.upf
CELL_PARAMETERS angstrom
4.7538 -2.9832 0.0000
4.7538 2.9832 0.0000
-4.2453 0.0000 8.0996
ATOMIC_POSITIONS crystal
Nd 0.2135 0.2135 0.1398
Nd 0.7865 0.7865 0.8602
Sm 0.0702 0.0702 0.7085
Sm 0.9298 0.9298 0.2915
Er 0.3584 0.3584 0.5699
Er 0.5000 0.5000 0.0000
Er 0.6416 0.6416 0.4301

! Nd6Sm5Er2 PBE relaxed; values from VASP
! Space group   Pbam, No. 55
! Calculated total energy   -120.2 eV/cell
! N(E_F)   1.1599 states/eV per atom
&SYSTEM
  ibrav = 0, nat = 26, ntyp = 3
/
ATOMIC_SPECIES
Nd 144.24 Nd.upf
Sm 150.36 Sm.upf
Er 167.26 Er.upf
CELL_PARAMETERS angstrom
11.7821 0.0000 0.0000
0.0000 20.8748 0.0000
0.0000 0.0000 3.6417
ATOMIC_POSITIONS crystal
Nd 0.0623 0.0805 0.0000
Nd 0.0826 0.3677 0.0000
Nd 0.1739 0.6379 0.5000
Nd 0.3261 0.1379 0.5000
Nd 0.4174 0.8677 0.0000
Nd 0.4377 0.5805 0.0000
Nd 0.5623 0.4195 0.0000
Nd 0.5826 0.1323 0.0000
Nd 0.6739 0.8621 0.5000
Nd 0.8261 0.3621 0.5000
Nd 0.9174 0.6323 0.0000
Nd 0.9377 0.9195 0.0000
Sm 0.0000 0.5000 0.5000
Sm 0.0886 0.2268 0.5000
Sm 0.1974 0.9444 0.5000
Sm 0.3026 0.4444 0.5000
Sm 0.4114 0.7268 0.5000
Sm 0.5000 0.0000 0.5000
Sm 0.5886 0.2732 0.5000
Sm 0.6974 0.5556 0.5000
Sm 0.8026 0.0556 0.5000
Sm 0.9114 0.7732 0.5000
Er 0.1686 0.7896 0.0000
Er 0.3314 0.2896 0.0000
Er 0.6686 0.7104 0.0000
Er 0.8314 0.2104 0.0000

! Nd2Sm4Er5 PBE relaxed; values from VASP
! Space group   C2/m, No. 12
! Calculated total energy   -50.6 eV/cell
! N(E_F)   1.5161 states/eV per atom
! Offset from the most stable computed form   0 meV/atom
&SYSTEM
  ibrav = 0, nat = 11, ntyp = 3
/
ATOMIC_SPECIES
Nd 144.24 Nd.upf
Sm 150.36 Sm.upf
Er 167.26 Er.upf
CELL_PARAMETERS angstrom
8.6930 -1.7679 0.0000
8.6930 1.7679 0.0000
-1.0607 0.0000 11.7165
ATOMIC_POSITIONS crystal
Nd 0.1351 0.1351 0.3132
Nd 0.8649 0.8649 0.6868
Sm 0.2307 0.2307 0.8573
Sm 0.3238 0.3238 0.4258
Sm 0.6762 0.6762 0.5742
Sm 0.7693 0.7693 0.1427
Er 0.0000 0.0000 0.5000
Er 0.0906 0.0906 0.0425
Er 0.4615 0.4615 0.2148
Er 0.5385 0.5385 0.7852
Er 0.9094 0.9094 0.9575

! Nd8Sm4Er3 PBE relaxed; values from VASP
! Space group   C2/m, No. 12
! Calculated total energy   -65.9 eV/cell
! N(E_F)   1.6193 states/eV per atom
&SYSTEM
  ibrav = 0, nat = 15, ntyp = 3
/
ATOMIC_SPECIES
Nd 144.24 Nd.upf
Sm 150.36 Sm.upf
Er 167.26 Er.upf
CELL_PARAMETERS angstrom
6.9799 -6.1379 0.0000
6.9799 6.1379 0.0000
-3.3176 0.0000 6.0462
ATOMIC_POSITIONS crystal
Nd 0.2014 0.2014 0.1746
Nd 0.2021 0.7979 0.0000
Nd 0.2521 0.7479 0.5000
Nd 0.2535 0.2535 0.7127
Nd 0.7465 0.7465 0.2873
Nd 0.7479 0.2521 0.5000
Nd 0.7979 0.2021 0.0000
Nd 0.7986 0.7986 0.8254
Sm 0.0000 0.5000 0.0000
Sm 0.5000 0.0000 0.0000
Sm 0.5000 0.5000 0.0000
Sm 0.5000 0.5000 0.5000
Er 0.0000 0.0000 0.5000
Er 0.0000 0.5000 0.5000
Er 0.5000 0.0000 0.5000

! Nd2SmEr3 PBE relaxed; values from VASP
! Space group   C2/m, No. 12
! Calculated total energy   -54.5 eV/cell
! N(E_F)   1.7161 states/eV per atom
! Offset from the most stable computed form   0 meV/atom
&SYSTEM
  ibrav = 0, nat = 12, ntyp = 3
/
ATOMIC_SPECIES
Nd 144.24 Nd.upf
Sm 150.36 Sm.upf
Er 167.26 Er.upf
CELL_PARAMETERS angstrom
10.1121 -1.7607 0.0000
10.1121 1.7607 0.0000
-3.1646 0.0000 11.1630
ATOMIC_POSITIONS crystal
Nd 0.0682 0.0682 0.1314
Nd 0.3478 0.3478 0.3549
Nd 0.6522 0.6522 0.6451
Nd 0.9318 0.9318 0.8686
Sm 0.1028 0.1028 0.8683
Sm 0.8972 0.8972 0.1317
Er 0.1866 0.1866 0.3925
Er 0.2785 0.2785 0.8720
Er 0.4736 0.4736 0.6363
Er 0.5264 0.5264 0.3637
Er 0.7215 0.7215 0.1280
Er 0.8134 0.8134 0.6075